# K3Sm2NpO6

Crystalline K3Sm2NpO6 at its relaxed geometry (GGA-PBE, Alexandria via LeMat-Bulk).

## Properties
**ΔE_f (raw)**: -2.499 eV/atom
**SG**: No. 12
**Spin magnetization**: 4.01 μB per formula unit
**Raw total energy**: -7.12 eV/atom

Unit cell a=6.199 b=6.199 c=6.633 alpha=98.97 beta=98.97 gamma=120.00
Positions (direct):
K1 0.167 0.833 0.500
K2 0.833 0.167 0.500
K3 0.500 0.500 0.500
Sm1 0.333 0.667 0.000
Sm2 0.667 0.333 0.000
Np1 0.000 0.000 0.000
O1 0.937 0.608 0.811
O2 0.735 0.735 0.189
O3 0.063 0.392 0.189
O4 0.608 0.937 0.811
O5 0.265 0.265 0.811
O6 0.392 0.063 0.189

# K3SmNp2O9

Crystalline K3SmNp2O9 at its relaxed geometry (GGA-PBE, Alexandria via LeMat-Bulk).

## Properties
**ΔE_f (raw)**: -2.700 eV/atom
**SG**: No. 164
**Spin magnetization**: 2.00 μB per formula unit
**Raw total energy**: -7.93 eV/atom

Unit cell a=6.128 b=6.128 c=7.511 alpha=90.00 beta=90.00 gamma=120.00
Positions (direct):
K1 0.333 0.667 0.664
K2 0.000 0.000 0.000
K3 0.667 0.333 0.336
Sm1 0.000 0.000 0.500
Np1 0.333 0.667 0.163
Np2 0.667 0.333 0.837
O1 0.823 0.177 0.682
O2 0.823 0.646 0.682
O3 0.354 0.177 0.682
O4 0.646 0.823 0.318
O5 0.177 0.354 0.318
O6 0.177 0.823 0.318
O7 0.500 0.000 0.000
O8 0.000 0.500 0.000
O9 0.500 0.500 0.000

# K4SmNp3O12

Crystalline K4SmNp3O12 at its relaxed geometry (GGA-PBE, Alexandria via LeMat-Bulk).

## Properties
**ΔE_f (raw)**: -2.718 eV/atom
**SG**: No. 229
**Spin magnetization**: 4.00 μB per formula unit
**Raw total energy**: -8.09 eV/atom

Unit cell a=7.487 b=7.487 c=7.487 alpha=109.47 beta=109.47 gamma=109.47
Positions (direct):
K1 0.500 0.500 0.500
K2 0.000 0.000 0.500
K3 0.500 0.000 0.000
K4 0.000 0.500 0.000
Sm1 0.000 0.000 0.000
Np1 0.500 0.000 0.500
Np2 0.500 0.500 0.000
Np3 0.000 0.500 0.500
O1 0.250 0.500 0.750
O2 0.732 0.000 0.732
O3 0.268 0.000 0.268
O4 0.750 0.500 0.250
O5 0.732 0.732 0.000
O6 0.268 0.268 0.000
O7 0.750 0.250 0.500
O8 0.250 0.750 0.500
O9 0.500 0.250 0.750
O10 0.000 0.732 0.732
O11 0.500 0.750 0.250
O12 0.000 0.268 0.268

# KNpSnO6

Crystalline KNpSnO6 at its relaxed geometry (GGA-PBE, Alexandria via LeMat-Bulk).

## Properties
**ΔE_f (raw)**: -2.040 eV/atom
**SG**: No. 163
**Spin magnetization**: 0.00 μB per formula unit
**Raw total energy**: -7.35 eV/atom

Unit cell a=5.554 b=5.554 c=11.953 alpha=90.00 beta=90.00 gamma=120.00
Positions (direct):
K1 0.000 0.000 0.000
K2 0.000 0.000 0.500
Np1 0.667 0.333 0.250
Np2 0.333 0.667 0.750
Sn1 0.333 0.667 0.250
Sn2 0.667 0.333 0.750
O1 0.626 0.618 0.156
O2 0.992 0.374 0.156
O3 0.374 0.992 0.656
O4 0.008 0.626 0.844
O5 0.382 0.374 0.344
O6 0.992 0.618 0.344
O7 0.618 0.992 0.844
O8 0.626 0.008 0.344
O9 0.008 0.382 0.656
O10 0.382 0.008 0.156
O11 0.618 0.626 0.656
O12 0.374 0.382 0.844

# K2NpSnO6

Crystalline K2NpSnO6 at its relaxed geometry (GGA-PBE, Alexandria via LeMat-Bulk).

## Properties
**ΔE_f (raw)**: -2.212 eV/atom
**SG**: No. 225
**Spin magnetization**: 1.00 μB per formula unit
**Raw total energy**: -7.10 eV/atom

Unit cell a=5.916 b=5.916 c=8.367 alpha=90.00 beta=90.00 gamma=90.00
Positions (direct):
K1 0.500 0.750 0.250
K2 0.000 0.250 0.750
K3 0.500 0.750 0.750
K4 0.000 0.250 0.250
Np1 0.500 0.250 0.500
Np2 0.000 0.750 0.000
Sn1 0.000 0.750 0.500
Sn2 0.500 0.250 0.000
O1 0.500 0.250 0.251
O2 0.500 0.250 0.749
O3 0.000 0.750 0.249
O4 0.000 0.750 0.751
O5 0.251 0.001 0.500
O6 0.749 0.001 0.500
O7 0.251 0.498 0.500
O8 0.749 0.498 0.500
O9 0.751 0.502 0.000
O10 0.249 0.502 0.000
O11 0.249 0.999 0.000
O12 0.751 0.999 0.000

# KSr2NpO5

Crystalline KSr2NpO5 at its relaxed geometry (GGA-PBE, Alexandria via LeMat-Bulk).

## Properties
**ΔE_f (raw)**: -2.711 eV/atom
**SG**: No. 71
**Spin magnetization**: 2.00 μB per formula unit
**Raw total energy**: -7.40 eV/atom

Unit cell a=4.322 b=6.338 c=7.064 alpha=116.65 beta=107.81 gamma=90.00
Positions (direct):
K1 0.000 0.500 0.000
Sr1 0.222 0.222 0.444
Sr2 0.778 0.778 0.556
Np1 0.500 0.000 0.000
O1 0.635 0.912 0.271
O2 0.365 0.088 0.729
O3 0.365 0.642 0.729
O4 0.635 0.358 0.271
O5 0.000 0.000 0.000

# K4SrNp3O12

Crystalline K4SrNp3O12 at its relaxed geometry (GGA-PBE, Alexandria via LeMat-Bulk).

## Properties
**ΔE_f (raw)**: -2.647 eV/atom
**SG**: No. 229
**Spin magnetization**: 3.00 μB per formula unit
**Raw total energy**: -7.87 eV/atom

Unit cell a=7.552 b=7.552 c=7.552 alpha=109.47 beta=109.47 gamma=109.47
Positions (direct):
K1 0.500 0.500 0.500
K2 0.000 0.000 0.500
K3 0.500 0.000 0.000
K4 0.000 0.500 0.000
Sr1 0.000 0.000 0.000
Np1 0.500 0.000 0.500
Np2 0.500 0.500 0.000
Np3 0.000 0.500 0.500
O1 0.250 0.500 0.750
O2 0.721 0.000 0.721
O3 0.279 0.000 0.279
O4 0.750 0.500 0.250
O5 0.721 0.721 0.000
O6 0.279 0.279 0.000
O7 0.750 0.250 0.500
O8 0.250 0.750 0.500
O9 0.500 0.250 0.750
O10 0.000 0.721 0.721
O11 0.500 0.750 0.250
O12 0.000 0.279 0.279

# K2SrNpO6

Crystalline K2SrNpO6 at its relaxed geometry (GGA-PBE, Alexandria via LeMat-Bulk).

## Properties
**ΔE_f (raw)**: -2.301 eV/atom
**SG**: No. 225
**Spin magnetization**: 1.09 μB per formula unit
**Raw total energy**: -6.96 eV/atom

Unit cell a=6.309 b=6.307 c=6.307 alpha=60.00 beta=60.01 gamma=90.00
Positions (direct):
K1 0.251 0.750 0.500
K2 0.749 0.250 0.500
Sr1 0.000 0.000 0.000
Np1 0.500 0.500 0.000
O1 0.276 0.724 0.000
O2 0.724 0.724 0.000
O3 0.276 0.276 0.449
O4 0.724 0.276 0.000
O5 0.276 0.276 0.000
O6 0.724 0.724 0.551

# K3Sr2NpO6

Crystalline K3Sr2NpO6 at its relaxed geometry (GGA-PBE, Alexandria via LeMat-Bulk).

## Properties
**ΔE_f (raw)**: -2.417 eV/atom
**SG**: No. 12
**Spin magnetization**: 2.00 μB per formula unit
**Raw total energy**: -6.53 eV/atom

Unit cell a=6.318 b=6.318 c=6.606 alpha=99.27 beta=99.27 gamma=120.00
Positions (direct):
K1 0.165 0.835 0.500
K2 0.835 0.165 0.500
K3 0.500 0.500 0.500
Sr1 0.333 0.667 0.000
Sr2 0.667 0.333 0.000
Np1 0.000 0.000 0.000
O1 0.936 0.646 0.807
O2 0.775 0.775 0.190
O3 0.064 0.354 0.193
O4 0.646 0.936 0.807
O5 0.225 0.225 0.810
O6 0.354 0.064 0.193

# K2SrNpO4

Crystalline K2SrNpO4 at its relaxed geometry (GGA-PBE, Alexandria via LeMat-Bulk).

## Properties
**ΔE_f (raw)**: -2.378 eV/atom
**SG**: No. 10
**Spin magnetization**: 3.00 μB per formula unit
**Raw total energy**: -6.96 eV/atom

Unit cell a=3.613 b=6.311 c=6.620 alpha=108.90 beta=90.00 gamma=90.00
Positions (direct):
K1 0.500 0.000 0.500
K2 0.000 0.500 0.500
Sr1 0.500 0.500 0.000
Np1 0.000 0.000 0.000
O1 0.500 0.211 0.193
O2 0.500 0.789 0.807
O3 0.000 0.227 0.814
O4 0.000 0.773 0.186

# KSrNp2O8

Crystalline KSrNp2O8 at its relaxed geometry (GGA-PBE, Alexandria via LeMat-Bulk).

## Properties
**ΔE_f (raw)**: -2.453 eV/atom
**SG**: No. 82
**Spin magnetization**: 1.02 μB per formula unit
**Raw total energy**: -8.15 eV/atom

Unit cell a=5.674 b=5.674 c=6.661 alpha=115.21 beta=115.21 gamma=90.00
Positions (direct):
K1 0.750 0.250 0.500
Sr1 0.000 0.000 0.000
Np1 0.500 0.500 0.000
Np2 0.250 0.750 0.500
O1 0.827 0.806 0.206
O2 0.378 0.400 0.206
O3 0.566 0.645 0.711
O4 0.145 0.066 0.711
O5 0.934 0.434 0.289
O6 0.355 0.855 0.289
O7 0.194 0.622 0.794
O8 0.600 0.173 0.794

# K2Sr2NpO6

Crystalline K2Sr2NpO6 at its relaxed geometry (GGA-PBE, Alexandria via LeMat-Bulk).

## Properties
**ΔE_f (raw)**: -2.584 eV/atom
**SG**: No. 12
**Spin magnetization**: 1.00 μB per formula unit
**Raw total energy**: -6.97 eV/atom

Unit cell a=6.220 b=6.220 c=6.645 alpha=98.73 beta=98.73 gamma=118.56
Positions (direct):
K1 0.835 0.165 0.000
K2 0.165 0.835 0.000
Sr1 0.337 0.663 0.500
Sr2 0.663 0.337 0.500
Np1 0.000 0.000 0.500
O1 0.784 0.784 0.683
O2 0.048 0.338 0.677
O3 0.216 0.216 0.317
O4 0.338 0.048 0.677
O5 0.952 0.662 0.323
O6 0.662 0.952 0.323

# KSrNpO4

Crystalline KSrNpO4 at its relaxed geometry (GGA-PBE, Alexandria via LeMat-Bulk).

## Properties
**ΔE_f (raw)**: -2.697 eV/atom
**SG**: No. 107
**Spin magnetization**: 2.00 μB per formula unit
**Raw total energy**: -7.78 eV/atom

Unit cell a=4.374 b=4.374 c=7.116 alpha=107.90 beta=107.90 gamma=90.00
Positions (direct):
K1 0.351 0.351 0.702
Sr1 0.643 0.643 0.286
Np1 0.996 0.996 0.991
O1 0.010 0.510 0.020
O2 0.510 0.010 0.020
O3 0.836 0.836 0.672
O4 0.154 0.154 0.308

# KSrNpO6

Crystalline KSrNpO6 at its relaxed geometry (GGA-PBE, Alexandria via LeMat-Bulk).

## Properties
**ΔE_f (raw)**: -2.040 eV/atom
**SG**: No. 149
**Spin magnetization**: 2.06 μB per formula unit
**Raw total energy**: -7.09 eV/atom

Unit cell a=6.182 b=6.182 c=4.852 alpha=90.00 beta=90.00 gamma=59.99
Positions (direct):
K1 0.667 0.667 0.500
Sr1 0.000 0.000 0.000
Np1 0.333 0.333 0.500
O1 0.078 0.314 0.272
O2 0.314 0.079 0.728
O3 0.607 0.314 0.728
O4 0.079 0.608 0.727
O5 0.314 0.607 0.272
O6 0.608 0.078 0.272

# KTb2NpO6

Crystalline KTb2NpO6 at its relaxed geometry (GGA-PBE, Alexandria via LeMat-Bulk).

## Properties
**ΔE_f (raw)**: -3.029 eV/atom
**SG**: No. 146
**Spin magnetization**: 2.00 μB per formula unit
**Raw total energy**: -8.33 eV/atom

Unit cell a=5.970 b=5.970 c=6.280 alpha=61.62 beta=61.62 gamma=60.00
Positions (direct):
K1 0.786 0.786 0.643
Tb1 0.527 0.527 0.418
Tb2 0.012 0.012 0.965
Np1 0.321 0.321 0.038
O1 0.594 0.257 0.219
O2 0.257 0.930 0.219
O3 0.930 0.594 0.219
O4 0.343 0.705 0.765
O5 0.705 0.188 0.765
O6 0.188 0.343 0.765

# K3Tb2NpO6

Crystalline K3Tb2NpO6 at its relaxed geometry (GGA-PBE, Alexandria via LeMat-Bulk).

## Properties
**ΔE_f (raw)**: -2.549 eV/atom
**SG**: No. 12
**Spin magnetization**: 4.00 μB per formula unit
**Raw total energy**: -7.15 eV/atom

Unit cell a=6.114 b=6.114 c=6.607 alpha=98.87 beta=98.87 gamma=120.00
Positions (direct):
K1 0.167 0.833 0.500
K2 0.833 0.167 0.500
K3 0.500 0.500 0.500
Tb1 0.333 0.667 0.000
Tb2 0.667 0.333 0.000
Np1 0.000 0.000 0.000
O1 0.938 0.603 0.813
O2 0.727 0.727 0.187
O3 0.062 0.397 0.187
O4 0.603 0.938 0.813
O5 0.273 0.273 0.813
O6 0.397 0.062 0.187

# K3TbNp2O9

Crystalline K3TbNp2O9 at its relaxed geometry (GGA-PBE, Alexandria via LeMat-Bulk).

## Properties
**ΔE_f (raw)**: -2.721 eV/atom
**SG**: No. 164
**Spin magnetization**: 2.00 μB per formula unit
**Raw total energy**: -7.95 eV/atom

Unit cell a=6.087 b=6.087 c=7.458 alpha=90.00 beta=90.00 gamma=120.00
Positions (direct):
K1 0.333 0.667 0.663
K2 0.000 0.000 0.000
K3 0.667 0.333 0.337
Tb1 0.000 0.000 0.500
Np1 0.333 0.667 0.166
Np2 0.667 0.333 0.834
O1 0.824 0.176 0.679
O2 0.824 0.649 0.679
O3 0.351 0.176 0.679
O4 0.649 0.824 0.321
O5 0.176 0.351 0.321
O6 0.176 0.824 0.321
O7 0.500 0.000 0.000
O8 0.000 0.500 0.000
O9 0.500 0.500 0.000

# K4Tb3NpO8

Crystalline K4Tb3NpO8 at its relaxed geometry (GGA-PBE, Alexandria via LeMat-Bulk).

## Properties
**ΔE_f (raw)**: -2.598 eV/atom
**SG**: No. 166
**Spin magnetization**: 4.00 μB per formula unit
**Raw total energy**: -7.03 eV/atom

Unit cell a=7.043 b=7.486 c=7.043 alpha=118.06 beta=120.00 gamma=90.00
Positions (direct):
K1 0.500 0.000 0.000
K2 0.500 0.000 0.500
K3 0.000 0.000 0.000
K4 0.000 0.000 0.500
Tb1 0.500 0.500 0.000
Tb2 0.500 0.500 0.500
Tb3 0.000 0.500 0.500
Np1 0.000 0.500 0.000
O1 0.230 0.688 0.958
O2 0.230 0.688 0.460
O3 0.271 0.314 0.543
O4 0.728 0.688 0.958
O5 0.272 0.312 0.042
O6 0.729 0.686 0.457
O7 0.770 0.312 0.540
O8 0.770 0.312 0.042

# K2Tb2NpO6

Crystalline K2Tb2NpO6 at its relaxed geometry (GGA-PBE, Alexandria via LeMat-Bulk).

## Properties
**ΔE_f (raw)**: -2.805 eV/atom
**SG**: No. 12
**Spin magnetization**: 3.00 μB per formula unit
**Raw total energy**: -7.73 eV/atom

Unit cell a=6.060 b=6.060 c=6.680 alpha=98.60 beta=98.60 gamma=120.06
Positions (direct):
K1 0.831 0.169 0.000
K2 0.169 0.831 0.000
Tb1 0.334 0.666 0.500
Tb2 0.666 0.334 0.500
Np1 0.000 0.000 0.500
O1 0.742 0.742 0.672
O2 0.050 0.384 0.674
O3 0.258 0.258 0.328
O4 0.384 0.050 0.674
O5 0.950 0.616 0.326
O6 0.616 0.950 0.326